Record 1
The following is a GGA-PBE calculation of MgHgSe2O8 after structural relaxation, from the Alexandria database.

```
MgHgSe2O8
1.0
4.325 -2.826 0.000
4.325 2.826 0.000
-0.682 0.000 7.339
Mg Hg Se O
1 1 2 8
Direct
0.000 0.000 0.000
0.000 0.000 0.500
0.341 0.341 0.778
0.659 0.659 0.222
0.214 0.696 0.790
0.226 0.226 0.944
0.248 0.248 0.564
0.304 0.786 0.210
0.696 0.214 0.790
0.752 0.752 0.436
0.774 0.774 0.056
0.786 0.304 0.210
```

Properties
The calculation puts the magnetic moment at 0.0 μB per formula unit. The value obtained for the formation energy from raw total energies is -965.3 meV per atom.



Record 2
The following is a GGA-PBE calculation of Pm4Cu3Pt5 after structural relaxation, from the Alexandria database.

```
Pm4Cu3Pt5
1.0
3.945 -2.713 0.000
3.945 2.713 0.000
-0.794 0.000 11.802
Pm Cu Pt
4 3 5
Direct
0.060 0.060 0.132
0.271 0.271 0.669
0.729 0.729 0.331
0.940 0.940 0.868
0.414 0.414 0.170
0.500 0.500 0.500
0.586 0.586 0.830
0.000 0.000 0.500
0.253 0.253 0.353
0.317 0.317 0.946
0.683 0.683 0.054
0.747 0.747 0.647
```

Properties
The calculation puts the magnetic moment at 0.0 μB per formula unit. For the total energy, the calculation gives -5.658 eV per atom.



Record 3
The following is a GGA-PBE calculation of Pm4Sm3Th2 after structural relaxation, from the Alexandria database.

```
Pm4Sm3Th2
1.0
3.604 0.000 0.000
-1.802 3.121 0.000
0.000 0.000 27.229
Pm Sm Th
4 3 2
Direct
0.000 0.000 0.000
0.000 0.000 0.218
0.333 0.667 0.328
0.333 0.667 0.548
0.000 0.000 0.437
0.333 0.667 0.107
0.333 0.667 0.766
0.000 0.000 0.657
0.000 0.000 0.875
```

Properties
The calculation puts the energy above the most stable polymorph in this dataset at 0.0686 eV per atom. The calculation puts the magnetic moment at 0.0 μB per formula unit.



Record 4
The following is a GGA-PBE calculation of RbAc4Ir3O12 after structural relaxation, from the Alexandria database.

```
RbAc4Ir3O12
1.0
-4.433 4.433 4.433
4.433 -4.433 4.433
4.433 4.433 -4.433
Rb Ac Ir O
1 4 3 12
Direct
0.000 0.000 0.000
0.000 0.000 0.500
0.000 0.500 0.000
0.500 0.000 0.000
0.500 0.500 0.500
0.000 0.500 0.500
0.500 0.000 0.500
0.500 0.500 0.000
0.148 0.485 0.337
0.148 0.811 0.663
0.189 0.337 0.852
0.337 0.148 0.485
0.337 0.852 0.189
0.485 0.337 0.148
0.515 0.663 0.852
0.663 0.148 0.811
0.663 0.852 0.515
0.811 0.663 0.148
0.852 0.189 0.337
0.852 0.515 0.663
```

Properties
The calculation puts the magnetic moment at 8.0 μB per formula unit. The value obtained for the formation energy from raw total energies is -1972.2 meV per atom.



Record 5
The following is a GGA-PBE calculation of CrPtSe2 after structural relaxation, from the Alexandria database.

```
CrPtSe2
1.0
3.028 0.000 0.000
0.000 2.972 0.000
-0.022 0.000 7.372
Cr Pt Se
1 1 2
Direct
0.000 0.000 0.000
0.500 0.000 0.500
0.499 0.500 0.799
0.501 0.500 0.201
```

Properties
The calculation puts the energy above the most stable polymorph in this dataset at 0.4197 eV per atom. The calculation puts the magnetic moment at 0.0 μB per formula unit. The value obtained for the formation energy from raw total energies is 127.8 meV per atom.



Record 6
The following is a GGA-PBE calculation of Tm5Sc4Ir4 after structural relaxation, from the Alexandria database.

```
Tm5Sc4Ir4
1.0
-5.814 5.814 2.125
5.814 -5.814 2.125
5.814 5.814 -2.125
Tm Sc Ir
5 4 4
Direct
0.000 0.000 0.000
0.309 0.627 0.936
0.373 0.309 0.682
0.627 0.691 0.318
0.691 0.373 0.064
0.109 0.404 0.513
0.404 0.891 0.295
0.596 0.109 0.705
0.891 0.596 0.487
0.073 0.749 0.823
0.251 0.073 0.324
0.749 0.927 0.676
0.927 0.251 0.177
```

Properties
The calculation puts the magnetic moment at 0.0 μB per formula unit. For the total energy, the calculation gives -7.101 eV per atom.



Record 7
The following is a GGA-PBE calculation of Cu2SiMo after structural relaxation, from the Alexandria database.

```
Cu2SiMo
1.0
2.922 0.000 0.000
0.000 2.922 0.000
0.000 0.000 6.174
Cu Si Mo
2 1 1
Direct
0.000 0.000 0.216
0.000 0.000 0.784
0.500 0.500 0.000
0.500 0.500 0.500
```

Properties
The calculation puts the magnetic moment at 0.0 μB per formula unit. The value obtained for the formation energy from raw total energies is 220.2 meV per atom.



Record 8
The following is a GGA-PBE calculation of AlCuNi after structural relaxation, from the Alexandria database.

```
AlCuNi
1.0
4.400 0.000 0.000
-2.116 3.887 0.000
-1.741 -1.366 4.263
Al Cu Ni
2 2 2
Direct
0.142 0.392 0.250
0.858 0.608 0.750
0.489 0.072 0.255
0.511 0.928 0.745
0.189 0.267 0.755
0.811 0.733 0.245
```

Properties
The calculation puts the energy above the most stable polymorph in this dataset at 0.0412 eV per atom. The calculation puts the magnetic moment at 0.0 μB per formula unit.